*1*
First-principles (PBE-GGA) data for an optimized crystal structure of Tm3Cd2Au, as listed in Alexandria via LeMat-Bulk.

The total magnetization comes out at 0.00 μB per atom. Its crystal system is trigonal.

It has space group P-3m1 (No. 164), with a = 5.1441 Å, b = 5.1441 Å, c = 6.3200 Å, α = 90.00°, β = 90.00° and γ = 120.00°. The asymmetric unit holds Tm at (0.0000, 0.0000, 0.0000), Tm at (0.3333, 0.6667, 0.6498), Cd at (0.3333, 0.6667, 0.1482) and Au at (0.0000, 0.0000, 0.5000).



*2*
First-principles (PBE-GGA) data for an optimized crystal structure of Tm3Cd2Au, as listed in Alexandria via LeMat-Bulk.

The total magnetization comes out at 0.00 μB per atom. Its crystal system is tetragonal.

It has space group P4/mmm (No. 123), with a = 3.634 Å, b = 3.634 Å, c = 11.015 Å, α = 90.00°, β = 90.00° and γ = 90.00°. The asymmetric unit holds Tm at (0.000, 0.000, 0.000), Tm at (0.000, 0.000, 0.346), Cd at (0.500, 0.500, 0.168) and Au at (0.500, 0.500, 0.500).



Which is most stable, and by how much? *2*, by 15 meV/atom.



*1*
First-principles (PBE-GGA) data for an optimized crystal structure of Tm2CdAu, as listed in Alexandria via LeMat-Bulk.

The total magnetization comes out at 0.00 μB per atom. Its crystal system is cubic.

It has space group Fm-3m (No. 225), with a = 7.237 Å, b = 7.237 Å, c = 7.237 Å, α = 90.00°, β = 90.00° and γ = 90.00°. The asymmetric unit holds Tm at (0.250, 0.250, 0.250), Cd at (0.000, 0.000, 0.000) and Au at (0.000, 0.000, 0.500).



*2*
First-principles (PBE-GGA) data for an optimized crystal structure of Tm2CdAu, as listed in Alexandria via LeMat-Bulk.

The total magnetization comes out at 0.00 μB per atom. Its crystal system is trigonal.

It has space group R-3m (No. 166, hexagonal axes), with a = 3.7484 Å, b = 3.7484 Å, c = 26.0881 Å, α = 90.00°, β = 90.00° and γ = 120.00°. The asymmetric unit holds Tm at (0.0000, 0.0000, 0.2413), Cd at (0.0000, 0.0000, 0.0000) and Au at (0.0000, 0.0000, 0.5000).



*3*
First-principles (PBE-GGA) data for an optimized crystal structure of Tm2CdAu, as listed in Alexandria via LeMat-Bulk.

The total magnetization comes out at 0.00 μB per atom. Its crystal system is tetragonal.

It has space group P4/mmm (No. 123), with a = 3.641 Å, b = 3.641 Å, c = 7.158 Å, α = 90.00°, β = 90.00° and γ = 90.00°. The asymmetric unit holds Tm at (0.000, 0.000, 0.237), Cd at (0.500, 0.500, 0.500) and Au at (0.500, 0.500, 0.000).



Which is most stable, and by how much? *3*, by 29 meV/atom.